The following is a PBE-GGA calculation of a relaxed AsOs3C crystal, from Alexandria via LeMat-Bulk.

Cell: 4.520 4.520 4.520 Å, 90.00 90.00 90.00°
Positions (direct):
Os  0.000  0.500  0.000
Os  0.500  0.000  0.000
Os  0.000  0.000  0.500
C  0.500  0.500  0.500
As  0.000  0.000  0.000

## Properties
The calculation puts the total moment at 0.9 μB per cell. The energy is -32.33 eV for the cell shown. As for the density of states at the Fermi level: 4.1 states/eV per cell. For the volume, the calculation gives 18.5 Å³ per atom. The space group is Pm-3m, No. 221.

The following is a PBE-GGA calculation of a relaxed Ho4ErHg4 crystal, from Alexandria via LeMat-Bulk.

Cell: 5.497 9.460 9.460 Å, 90.00 90.00 90.00°
Positions (direct):
Hg  0.607  0.896  0.203
Hg  0.393  0.203  0.104
Hg  0.393  0.797  0.896
Hg  0.893  0.604  0.297
Hg  0.107  0.703  0.604
Hg  0.107  0.297  0.396
Hg  0.893  0.396  0.703
Hg  0.607  0.104  0.797
Ho  0.104  0.089  0.652
Ho  0.104  0.911  0.348
Ho  0.896  0.348  0.089
Ho  0.396  0.411  0.848
Ho  0.396  0.589  0.152
Ho  0.896  0.652  0.911
Ho  0.604  0.848  0.589
Ho  0.604  0.152  0.411
Er  0.000  0.000  0.000
Er  0.500  0.500  0.500

## Properties
The calculation puts the total moment at 0.0 μB per cell. The energy is -52.63 eV for the cell shown. As for the density of states at the Fermi level: 15.2 states/eV per cell. For the volume, the calculation gives 27.3 Å³ per atom. The space group is P4_2/n, No. 86.

The following is a PBE-GGA calculation of a relaxed MnCu2Re crystal, from Alexandria via LeMat-Bulk.

Cell: 4.475 4.475 2.670 Å, 90.00 90.00 90.00°
Positions (direct):
Cu  0.500  0.500  0.000
Cu  0.000  0.000  0.000
Mn  0.500  0.000  0.500
Re  0.000  0.500  0.500

## Properties
The calculation puts the total moment at 3.4 μB per cell. The energy is -28.25 eV for the cell shown. As for the density of states at the Fermi level: 3.1 states/eV per cell. For the volume, the calculation gives 13.4 Å³ per atom. The space group is P4/mmm, No. 123.